No. 1
Compound: SrCeMoN3
Source: Alexandria
Functional: PBE
Structure: relaxed

abc: 3.601 7.673 7.987
angles: 97.10 90.00 90.00
Positions (direct):
Ce 0.750 0.372 0.839
Ce 0.250 0.628 0.161
N 0.250 0.835 0.487
N 0.750 0.421 0.121
N 0.250 0.135 0.842
N 0.250 0.579 0.879
N 0.750 0.165 0.513
N 0.750 0.865 0.158
Sr 0.750 0.828 0.827
Sr 0.250 0.172 0.173
Mo 0.250 0.090 0.601
Mo 0.750 0.910 0.399

Output
D(E_F) (states/eV/f.u.): 3.473
Calculated volume (Å³ per atom): 18.25
Total moment (μB/atom): 0.000
Symmetry: No. 11
Energy (eV/cell): -96.78

No. 2
Compound: Sr3Ce3MoN8
Source: Alexandria
Functional: PBE
Structure: relaxed

abc: 6.984 6.985 7.213
angles: 118.96 90.00 120.00
Positions (direct):
N 0.210 0.420 0.687
N 0.263 0.526 0.289
N 0.737 0.474 0.711
N 0.790 0.023 0.313
N 0.790 0.580 0.313
N 0.767 0.977 0.687
N 0.233 0.023 0.313
N 0.210 0.977 0.687
Sr 0.500 0.500 0.000
Sr 0.000 0.500 0.000
Sr 0.000 0.000 0.000
Ce 0.500 0.500 0.500
Ce 0.500 0.000 0.500
Ce 0.000 0.500 0.500
Mo 0.000 0.000 0.500

Output
Calculated volume (Å³ per atom): 16.84
Total moment (μB/atom): 0.000
Symmetry: No. 166
Energy (eV/cell): -115.21

No. 3
Compound: CeTaMoN3
Source: Alexandria
Functional: PBE
Structure: relaxed

abc: 3.104 6.850 8.021
angles: 99.75 90.00 90.00
Positions (direct):
N 0.250 0.574 0.861
N 0.250 0.819 0.572
N 0.750 0.181 0.428
N 0.250 0.134 0.866
N 0.750 0.426 0.139
N 0.750 0.866 0.134
Ta 0.750 0.354 0.873
Ta 0.250 0.646 0.127
Mo 0.750 0.866 0.408
Mo 0.250 0.134 0.592
Ce 0.250 0.168 0.190
Ce 0.750 0.832 0.810

Output
D(E_F) (states/eV/f.u.): 2.687
Calculated volume (Å³ per atom): 14.01
Total moment (μB/atom): 0.000
Symmetry: No. 11
Energy (eV/cell): -119.12

No. 4
Compound: TbCeMoN3
Source: Alexandria
Functional: PBE
Structure: relaxed

abc: 3.317 7.489 7.756
angles: 95.20 90.00 90.00
Positions (direct):
N 0.750 0.169 0.423
N 0.750 0.392 0.130
N 0.250 0.131 0.846
N 0.750 0.869 0.154
N 0.250 0.831 0.577
N 0.250 0.608 0.870
Tb 0.750 0.376 0.842
Tb 0.250 0.624 0.158
Mo 0.750 0.893 0.418
Mo 0.250 0.107 0.582
Ce 0.750 0.839 0.824
Ce 0.250 0.161 0.176

Output
D(E_F) (states/eV/f.u.): 3.558
Calculated volume (Å³ per atom): 15.99
Total moment (μB/atom): 0.000
Symmetry: No. 11
Energy (eV/cell): -104.61

No. 5
Compound: CeTh2MoN5
Source: Alexandria
Functional: PBE
Structure: relaxed

abc: 5.945 6.832 6.832
angles: 90.00 90.00 90.00
Each line ends with the local moment (μB).
Positions (direct):
Th 0.500 0.671 0.171  0.01
Th 0.500 0.171 0.329  0.01
Th 0.500 0.329 0.829  0.01
Th 0.500 0.829 0.671  0.01
Mo 0.000 0.000 0.500  0.08
Mo 0.000 0.500 0.000  0.08
N 0.235 0.356 0.144  -0.01
N 0.765 0.856 0.356  -0.01
N 0.765 0.644 0.856  -0.01
N 0.235 0.856 0.356  -0.01
N 0.765 0.356 0.144  -0.01
N 0.500 0.000 0.000  -0.01
N 0.235 0.644 0.856  -0.01
N 0.235 0.144 0.644  -0.01
N 0.765 0.144 0.644  -0.01
N 0.500 0.500 0.500  -0.01
Ce 0.000 0.000 0.000  0.85
Ce 0.000 0.500 0.500  0.85

Output
D(E_F) (states/eV/f.u.): 6.115
Calculated volume (Å³ per atom): 15.42
Total moment (μB/atom): 0.112
Symmetry: No. 127
Energy (eV/cell): -165.68

No. 6
Compound: CeU2MoN4
Source: Alexandria
Functional: PBE
Structure: relaxed

abc: 3.323 6.164 11.597
angles: 90.00 90.00 105.64
Each line ends with the local moment (μB).
Positions (direct):
Mo 0.844 0.688 0.750  -0.08
Mo 0.156 0.312 0.250  -0.08
Ce 0.106 0.211 0.750  0.11
Ce 0.894 0.789 0.250  0.11
N 0.725 0.451 0.616  -0.03
N 0.275 0.549 0.116  -0.03
N 0.275 0.549 0.384  -0.03
N 0.456 0.912 0.750  -0.01
N 0.000 0.000 0.500  -0.04
N 0.000 0.000 0.000  -0.04
N 0.544 0.088 0.250  -0.01
N 0.725 0.451 0.884  -0.03
U 0.631 0.263 0.450  0.71
U 0.631 0.263 0.050  0.71
U 0.369 0.737 0.550  0.71
U 0.369 0.737 0.950  0.71

Output
D(E_F) (states/eV/f.u.): 8.858
Calculated volume (Å³ per atom): 14.29
Total moment (μB/atom): 0.184
Symmetry: No. 63
Energy (eV/cell): -163.09